a) 4
Lattice="3.741 0.000 0.000 0.000 5.863 0.000 -1.871 -2.932 5.130" Properties=species:S:1:pos:R:3 comment="Y3Te (PBEsol, relaxed)" crystal_system=orthorhombic n_ef_per_ev_cell=4.871 space_group="Imm2, No. 44" pbc="T T T"
Y 0.000 1.998 2.852
Y 1.871 2.657 0.000
Y 1.871 -0.934 2.278
Te 0.000 0.187 0.000

***

b) 4
Lattice="-2.054 4.008 -2.873 -5.298 0.547 -0.415 -2.467 4.054 2.453" Properties=species:S:1:pos:R:3 comment="Y3Te (PBEsol, relaxed)" crystal_system=cubic n_ef_per_ev_cell=5.247 space_group="Fm-3m, No. 225" pbc="T T T"
Te 0.000 0.000 0.000
Y -2.455 2.152 -0.209
Y -4.909 4.305 -0.418
Y -7.364 6.457 -0.626

***

c) 16
Lattice="-0.146 6.281 -1.020 -4.728 -1.010 -5.547 -7.438 0.832 6.188" Properties=species:S:1:pos:R:3 comment="Y3Te (PBEsol, relaxed)" crystal_system=orthorhombic n_ef_per_ev_cell=19.031 space_group="Pnma, No. 62" pbc="T T T"
Te -7.539 5.892 1.576
Te -9.859 3.492 -0.890
Te -4.773 0.212 -1.955
Te -2.453 2.611 0.511
Y -4.135 1.585 -4.595
Y -6.626 4.625 -4.777
Y -7.433 5.248 -1.432
Y -5.033 4.166 1.600
Y -8.082 2.369 1.397
Y -4.878 0.856 1.052
Y -8.177 4.518 4.215
Y -5.686 1.478 4.397
Y -10.577 5.600 1.183
Y -1.734 0.504 -1.563
Y -7.279 1.937 -1.979
Y -4.230 3.735 -1.777

***

d) 4
Lattice="3.837 0.000 0.000 0.000 3.837 0.000 0.000 0.000 7.615" Properties=species:S:1:pos:R:3 comment="Y3Te (PBEsol, relaxed)" crystal_system=tetragonal n_ef_per_ev_cell=4.897 space_group="P4/mmm, No. 123" pbc="T T T"
Te 0.000 0.000 0.000
Y 1.918 1.918 5.910
Y 0.000 0.000 3.808
Y 1.918 1.918 1.705

***

Which structure is the least stable? The one labeled b).

***

a) 4
Lattice="-2.380 -3.015 -1.766 3.410 -1.922 -1.316 1.374 -1.422 5.637" Properties=species:S:1:pos:R:3 comment="Y2ZnTe (PBEsol, relaxed)" crystal_system=orthorhombic n_ef_per_ev_cell=2.473 space_group="Amm2, No. 38" pbc="T T T"
Zn -1.180 -1.663 -0.630
Y 0.101 -1.608 2.609
Y 0.695 -5.336 3.113
Te 0.592 -3.696 0.451

***

b) 4
Lattice="3.649 0.033 0.040 -0.047 5.162 0.001 -0.047 -0.909 5.081" Properties=species:S:1:pos:R:3 comment="Y2ZnTe (PBEsol, relaxed)" crystal_system=orthorhombic n_ef_per_ev_cell=3.801 space_group="Cmmm, No. 65" pbc="T T T"
Y -0.023 -0.454 2.540
Y -0.023 2.581 0.000
Te 1.825 0.017 0.020
Zn 1.778 2.143 2.561

***

Which structure is the least stable? The one labeled b).